1.
Entry from Alexandria: crystalline RbCdAuO2 at its relaxed geometry (PBE-GGA). Values from VASP.

Quantum ESPRESSO input file:
```
&SYSTEM
  ibrav = 0, nat = 10, ntyp = 4
/
ATOMIC_SPECIES
O 16.00 O.upf
Rb 85.47 Rb.upf
Cd 112.41 Cd.upf
Au 196.97 Au.upf
CELL_PARAMETERS angstrom
-1.345 -3.703 3.229
1.072 -4.467 -4.675
5.596 1.688 4.265
ATOMIC_POSITIONS angstrom
O 4.501 -5.207 1.413
O 4.465 -1.599 2.552
O 0.822 -1.275 1.407
O 0.859 -4.883 0.268
Rb 3.250 -3.477 -0.528
Rb 2.073 -3.006 3.347
Cd 0.132 -5.202 -1.892
Cd -0.404 -2.968 0.446
Au 0.000 0.000 0.000
Au 0.536 -2.234 -2.338
```

Calculated values
Total energy ... -38.396 eV/cell
Theoretical density ... 6.6 Mg/m³
Magnetization ... 0.00 μB per cell
Formation energy from raw total energies ... -0.824 eV per atom


2.
Entry from Alexandria: crystalline Sm2Dy2Y4Th at its relaxed geometry (PBE-GGA). Values from VASP.

Quantum ESPRESSO input file:
```
&SYSTEM
  ibrav = 0, nat = 9, ntyp = 4
/
ATOMIC_SPECIES
Dy 162.50 Dy.upf
Y 88.91 Y.upf
Sm 150.36 Sm.upf
Th 232.04 Th.upf
CELL_PARAMETERS angstrom
-3.528 -0.743 0.229
2.479 -0.143 9.222
-2.053 8.658 -3.548
ATOMIC_POSITIONS angstrom
Dy -1.153 5.603 0.401
Dy -1.949 2.170 5.502
Y -2.415 2.467 -0.714
Y -2.682 5.074 3.637
Y -0.687 5.305 6.617
Y -0.421 2.698 2.267
Sm -1.570 8.299 2.726
Sm -1.532 -0.527 3.178
Th 0.000 0.000 0.000
```

Calculated values
Energy relative to the elements ... 0.0008 eV per atom
Total energy ... -51.911 eV/cell
Theoretical density ... 6.9 Mg/m³
Magnetization ... 0.00 μB per cell


3.
Entry from Alexandria: crystalline TiAl4Co at its relaxed geometry (PBE-GGA). Values from VASP.

Quantum ESPRESSO input file:
```
&SYSTEM
  ibrav = 0, nat = 12, ntyp = 3
/
ATOMIC_SPECIES
Al 26.98 Al.upf
Co 58.93 Co.upf
Ti 47.87 Ti.upf
CELL_PARAMETERS angstrom
-4.327 1.717 1.581
-2.809 -2.487 -4.989
2.661 -4.716 4.757
ATOMIC_POSITIONS angstrom
Al -1.490 -4.601 0.917
Al 0.104 -3.190 3.746
Al -4.579 -2.295 -2.398
Al -0.544 -0.481 -0.966
Al -1.718 -2.994 -1.446
Al -2.265 -2.005 -4.023
Al -2.985 -0.885 0.431
Al -2.757 -2.492 2.794
Co -4.566 0.010 -1.339
Co 0.091 -5.495 2.688
Ti -0.379 -2.142 1.281
Ti -4.096 -3.343 0.067
```

Calculated values
Energy relative to the elements ... -0.2242 eV per atom
Total energy ... -62.632 eV/cell
Theoretical density ... 3.9 Mg/m³
Magnetization ... 1.64 μB per cell


4.
Entry from Alexandria: crystalline HgRh2CBr at its relaxed geometry (PBE-GGA). Values from VASP.

Quantum ESPRESSO input file:
```
&SYSTEM
  ibrav = 0, nat = 5, ntyp = 4
/
ATOMIC_SPECIES
Br 79.90 Br.upf
C 12.01 C.upf
Rh 102.91 Rh.upf
Hg 200.59 Hg.upf
CELL_PARAMETERS angstrom
-2.165 -2.794 -3.752
3.898 -3.526 0.376
-2.710 -2.621 3.515
ATOMIC_POSITIONS angstrom
Br 1.949 -1.763 0.188
C -0.489 -4.470 0.070
Rh -1.355 -1.311 1.758
Rh -1.083 -1.397 -1.876
Hg 0.000 0.000 0.000
```

Calculated values
Total energy ... -12.095 eV/cell
Theoretical density ... 5.9 Mg/m³
Magnetization ... 2.66 μB per cell
Formation energy from raw total energies ... 2.761 eV per atom


5.
Entry from Alexandria: crystalline InTc2Rh2 at its relaxed geometry (PBE-GGA). Values from VASP.

Quantum ESPRESSO input file:
```
&SYSTEM
  ibrav = 0, nat = 10, ntyp = 3
/
ATOMIC_SPECIES
Rh 102.91 Rh.upf
Tc 98.00 Tc.upf
In 114.82 In.upf
CELL_PARAMETERS angstrom
-0.967 5.390 5.315
3.516 -4.426 5.128
2.433 1.125 -0.698
ATOMIC_POSITIONS angstrom
Rh 1.336 1.984 7.857
Rh 1.213 -1.020 2.587
Rh 2.723 -1.848 6.516
Rh -0.174 2.812 3.927
Tc 3.473 0.532 7.469
Tc 1.509 1.558 2.276
Tc 1.566 3.573 5.722
Tc 3.416 -1.484 4.024
In 0.000 0.000 0.000
In 1.274 0.482 5.222
```

Calculated values
Energy relative to the elements ... 0.1778 eV per atom
Polymorph energy (0 for the lowest one) ... 13.6 meV per atom
Total energy ... -74.568 eV/cell
Theoretical density ... 10.6 Mg/m³
Magnetization ... 0.00 μB per cell


6.
Entry from Alexandria: crystalline AcPaGe at its relaxed geometry (PBE-GGA). Values from VASP.

Quantum ESPRESSO input file:
```
&SYSTEM
  ibrav = 0, nat = 3, ntyp = 3
/
ATOMIC_SPECIES
Ge 72.64 Ge.upf
Ac 227.00 Ac.upf
Pa 231.04 Pa.upf
CELL_PARAMETERS angstrom
4.419 0.000 0.000
0.000 4.906 0.000
0.000 -2.453 4.249
ATOMIC_POSITIONS angstrom
Ge 0.442 0.000 0.000
Ac 3.048 2.453 1.416
Pa 0.929 0.000 2.833
```

Calculated values
Energy relative to the elements ... 0.1187 eV per atom
Total energy ... -17.866 eV/cell
Theoretical density ... 9.6 Mg/m³
Magnetization ... 1.78 μB per cell


7.
Entry from Alexandria: crystalline BaPu2S4 at its relaxed geometry (PBE-GGA). Values from VASP.

Quantum ESPRESSO input file:
```
&SYSTEM
  ibrav = 0, nat = 14, ntyp = 3
/
ATOMIC_SPECIES
Ba 137.33 Ba.upf
S 32.06 S.upf
Pu 244.00 Pu.upf
CELL_PARAMETERS angstrom
-1.898 -2.933 2.141
5.483 -2.926 -3.068
7.652 2.966 10.847
ATOMIC_POSITIONS angstrom
Ba 5.785 -0.206 8.767
Ba 5.451 -2.687 1.153
S 2.510 0.163 2.449
S 2.877 0.017 6.494
S 8.727 -3.056 7.471
S 2.288 -3.455 1.215
S 4.423 -2.628 4.242
S 8.949 0.562 8.704
S -0.949 -1.466 1.070
S 6.814 -0.265 5.678
Pu 4.545 0.126 4.202
Pu 9.544 -1.913 9.761
Pu 1.692 -0.980 0.158
Pu 6.692 -3.019 5.717
```

Calculated values
Total energy ... -119.545 eV/cell
Theoretical density ... 6.8 Mg/m³
Magnetization ... 20.00 μB per cell
Formation energy from raw total energies ... -1.811 eV per atom


8.
Entry from Alexandria: crystalline YTl2Zn at its relaxed geometry (PBE-GGA). Values from VASP.

Quantum ESPRESSO input file:
```
&SYSTEM
  ibrav = 0, nat = 4, ntyp = 3
/
ATOMIC_SPECIES
Zn 65.41 Zn.upf
Tl 204.38 Tl.upf
Y 88.91 Y.upf
CELL_PARAMETERS angstrom
4.765 0.000 0.000
0.000 3.609 0.018
0.000 0.816 5.930
ATOMIC_POSITIONS angstrom
Zn 2.382 3.319 4.461
Tl 0.000 4.122 5.863
Tl 0.000 2.516 3.059
Y 2.382 1.106 1.487
```

Calculated values
Energy relative to the elements ... -0.0872 eV per atom
Total energy ... -12.819 eV/cell
Theoretical density ... 9.2 Mg/m³
Magnetization ... 0.00 μB per cell


9.
Entry from Alexandria: crystalline Nd5Y4Hg at its relaxed geometry (PBE-GGA). Values from VASP.

Quantum ESPRESSO input file:
```
&SYSTEM
  ibrav = 0, nat = 10, ntyp = 3
/
ATOMIC_SPECIES
Nd 144.24 Nd.upf
Y 88.91 Y.upf
Hg 200.59 Hg.upf
CELL_PARAMETERS angstrom
3.665 0.000 0.000
0.000 3.665 0.000
0.000 0.000 24.402
ATOMIC_POSITIONS angstrom
Nd 1.832 1.832 2.069
Nd 1.832 1.832 7.157
Nd 1.832 1.832 17.245
Nd 1.832 1.832 12.201
Nd 1.832 1.832 22.333
Y 0.000 0.000 9.678
Y 0.000 0.000 4.632
Y 0.000 0.000 14.724
Y 0.000 0.000 19.771
Hg 0.000 0.000 0.000
```

Calculated values
Energy relative to the elements ... -0.0753 eV per atom
Total energy ... -50.750 eV/cell
Theoretical density ... 6.5 Mg/m³
Magnetization ... 0.00 μB per cell


10.
Entry from Alexandria: crystalline In2GaCu at its relaxed geometry (PBE-GGA). Values from VASP.

Quantum ESPRESSO input file:
```
&SYSTEM
  ibrav = 0, nat = 4, ntyp = 3
/
ATOMIC_SPECIES
Ga 69.72 Ga.upf
In 114.82 In.upf
Cu 63.55 Cu.upf
CELL_PARAMETERS angstrom
-2.243 -1.473 1.628
1.727 0.252 2.608
-3.575 7.283 1.663
ATOMIC_POSITIONS angstrom
Ga -2.046 3.031 2.950
In -2.802 5.708 1.304
In -0.773 1.575 0.360
Cu -0.258 -0.610 2.118
```

Calculated values
Energy relative to the elements ... 0.0865 eV per atom
Total energy ... -12.254 eV/cell
Theoretical density ... 7.4 Mg/m³
Magnetization ... 0.00 μB per cell


11.
Entry from Alexandria: crystalline TlReP2 at its relaxed geometry (PBE-GGA). Values from VASP.

Quantum ESPRESSO input file:
```
&SYSTEM
  ibrav = 0, nat = 4, ntyp = 3
/
ATOMIC_SPECIES
Tl 204.38 Tl.upf
P 30.97 P.upf
Re 186.21 Re.upf
CELL_PARAMETERS angstrom
9.279 -0.031 -0.018
8.757 3.066 -0.018
8.757 1.473 2.689
ATOMIC_POSITIONS angstrom
Tl 20.095 3.381 1.989
P 26.174 4.404 2.591
P 14.016 2.358 1.387
Re 6.698 1.127 0.663
```

Calculated values
Energy relative to the elements ... 0.0107 eV per atom
Polymorph energy (0 for the lowest one) ... 0.0 meV per atom
Total energy ... -25.591 eV/cell
Theoretical density ... 9.7 Mg/m³
Magnetization ... 0.00 μB per cell


12.
Entry from Alexandria: crystalline Na3Tm3SbSe8 at its relaxed geometry (PBE-GGA). Values from VASP.

Quantum ESPRESSO input file:
```
&SYSTEM
  ibrav = 0, nat = 15, ntyp = 4
/
ATOMIC_SPECIES
Se 78.96 Se.upf
Na 22.99 Na.upf
Tm 168.93 Tm.upf
Sb 121.76 Sb.upf
CELL_PARAMETERS angstrom
-5.710 5.480 -1.922
-0.519 -7.602 -2.876
-1.487 1.345 8.251
ATOMIC_POSITIONS angstrom
Se -2.149 -2.140 0.283
Se -5.026 0.576 -0.680
Se -5.568 1.362 3.170
Se -5.841 -2.428 1.705
Se -4.763 4.421 0.776
Se -2.691 -1.354 4.133
Se -1.875 1.650 1.748
Se -2.953 -5.199 2.678
Na -0.260 -3.801 -1.438
Na -3.115 -1.061 -2.399
Na 0.000 0.000 0.000
Tm -1.003 -3.129 2.688
Tm -3.858 -0.389 1.727
Tm -3.599 3.412 3.164
Sb -0.744 0.672 4.126
```

Calculated values
Total energy ... -70.088 eV/cell
Theoretical density ... 5.4 Mg/m³
Magnetization ... 0.00 μB per cell
Formation energy from raw total energies ... -1.381 eV per atom


Among the records above, which one has the highest total energy? HgRh2CBr


Which value of magnetization does entry 5 give? 0.00 μB per cell


magnetization of number 5 (InTc2Rh2)? 0.00 μB per cell


Which of these has the highest magnetization? BaPu2S4